Record 1
Ba2TlTeS5 | PBE-GGA | relaxed Values from VASP.

Quantum ESPRESSO input file:
```
&SYSTEM
  ibrav = 0, nat = 18, ntyp = 4
/
ATOMIC_SPECIES
Ba 137.33 Ba.upf
Tl 204.38 Tl.upf
Te 127.60 Te.upf
S 32.06 S.upf
CELL_PARAMETERS angstrom
4.4196 0.0000 0.0000
-2.2098 9.1327 0.0000
0.0000 0.0000 12.6994
ATOMIC_POSITIONS angstrom
Ba 2.2098 6.6580 10.2705
Ba 0.0000 1.9687 8.8303
Ba 0.0000 2.4747 3.9208
Ba 2.2098 7.1640 2.4806
Tl 2.2098 1.1148 12.0829
Tl 0.0000 8.0179 5.7332
Te 2.2098 5.1046 6.7440
Te 0.0000 4.0281 0.3943
S 0.0000 6.4464 0.0356
S 2.2098 3.4288 10.8134
S 0.0000 8.9190 9.9018
S 0.0000 5.1270 8.1369
S 2.2098 8.1959 7.1456
S 2.2098 2.6863 6.3853
S 0.0000 5.7039 4.4637
S 2.2098 0.2137 3.5521
S 2.2098 4.0057 1.7872
S 0.0000 0.9368 0.7959
```

Crystal system ... orthorhombic
DOS(E_F) ... 1.00 states/eV/f.u.
Space group ... Cmc2_1 (36)

Record 2
BaTl2TeS | PBE-GGA | relaxed Values from VASP.

Quantum ESPRESSO input file:
```
&SYSTEM
  ibrav = 0, nat = 5, ntyp = 4
/
ATOMIC_SPECIES
Ba 137.33 Ba.upf
Tl 204.38 Tl.upf
Te 127.60 Te.upf
S 32.06 S.upf
CELL_PARAMETERS angstrom
5.0362 0.0000 0.0000
0.0000 5.0362 -0.0001
0.0000 0.0002 8.0327
ATOMIC_POSITIONS angstrom
Ba 0.0000 5.0362 3.8573
Tl 0.0000 2.5182 7.3380
Tl 2.5181 5.0362 7.3380
Te 2.5181 2.5184 4.6536
S 0.0000 0.0001 0.9111
```

Crystal system ... tetragonal
Space group ... P4mm (99)

Record 3
BaTmTe2S6 | PBE-GGA | relaxed Values from VASP.

Quantum ESPRESSO input file:
```
&SYSTEM
  ibrav = 0, nat = 10, ntyp = 4
/
ATOMIC_SPECIES
Ba 137.33 Ba.upf
Tm 168.93 Tm.upf
Te 127.60 Te.upf
S 32.06 S.upf
CELL_PARAMETERS angstrom
7.2072 -0.1589 -0.1266
-3.7400 5.9099 0.1621
-3.6698 -1.7545 6.8252
ATOMIC_POSITIONS angstrom
Ba -3.6795 2.1770 3.6621
Tm -0.1869 3.9887 6.6281
Te -0.3024 3.9164 2.3571
Te -0.0359 0.1981 6.0232
S 1.6995 -1.2560 4.6136
S 2.4392 -0.0470 1.1444
S 2.3599 3.5875 0.9263
S -1.2758 1.9671 1.3102
S 0.6498 2.1913 4.8203
S -2.0854 -0.3530 4.8029
```

Crystal system ... triclinic
DOS(E_F) ... 2.05 states/eV/f.u.
Space group ... P1 (1)

Record 4
BaUTe2S8 | PBE-GGA | relaxed Values from VASP.

Quantum ESPRESSO input file:
```
&SYSTEM
  ibrav = 0, nat = 12, ntyp = 4
/
ATOMIC_SPECIES
Ba 137.33 Ba.upf
U 238.03 U.upf
Te 127.60 Te.upf
S 32.06 S.upf
CELL_PARAMETERS angstrom
-1.0374 -5.8525 -3.2476
6.3151 2.1299 1.2073
-0.0318 -4.1266 7.4465
ATOMIC_POSITIONS angstrom
Ba 0.0000 0.0000 0.0000
U -0.0159 -2.0633 3.7232
Te 1.4036 -4.4704 0.5448
Te 3.8423 -3.3787 4.8613
S 3.8338 -4.4889 6.8646
S 1.7705 -2.2299 1.8976
S 5.2697 -3.2481 1.3482
S 1.4121 -3.3602 -1.4585
S -0.0238 -4.6010 4.0579
S 3.4754 -5.6192 3.5086
S 0.7239 -7.7589 2.3111
S 4.5220 -0.0902 3.0951
```

Crystal system ... trigonal
Space group ... P-3 (147)

Record 5
BaYTe2S6 | PBE-GGA | relaxed Values from VASP.

Quantum ESPRESSO input file:
```
&SYSTEM
  ibrav = 0, nat = 10, ntyp = 4
/
ATOMIC_SPECIES
Ba 137.33 Ba.upf
Y 88.91 Y.upf
Te 127.60 Te.upf
S 32.06 S.upf
CELL_PARAMETERS angstrom
7.2240 -0.1734 -0.1333
-3.7603 5.9560 0.1599
-3.6778 -1.7674 6.8204
ATOMIC_POSITIONS angstrom
Ba -3.6945 2.1847 3.6708
Y -0.2074 4.0116 6.6528
Te -0.2841 3.9485 2.3640
Te -0.0379 0.1913 5.9893
S 1.7000 -1.2605 4.5775
S 2.4994 -0.0557 1.1415
S 2.3175 3.5682 0.9211
S -1.3132 2.0207 1.3297
S 0.6381 2.1926 4.7995
S -2.0856 -0.3656 4.7734
```

Crystal system ... triclinic
DOS(E_F) ... 1.92 states/eV/f.u.
Space group ... P1 (1)

Record 6
BaZrTeS2 | PBE-GGA | relaxed Values from VASP.

Quantum ESPRESSO input file:
```
&SYSTEM
  ibrav = 0, nat = 5, ntyp = 4
/
ATOMIC_SPECIES
S 32.06 S.upf
Te 127.60 Te.upf
Ba 137.33 Ba.upf
Zr 91.22 Zr.upf
CELL_PARAMETERS angstrom
5.0537 0.0000 0.0000
0.0000 5.0537 0.0000
0.0000 0.0000 5.7941
ATOMIC_POSITIONS angstrom
S 0.0000 2.5269 0.0000
S 2.5269 0.0000 0.0000
Te 0.0000 0.0000 2.8970
Ba 2.5269 2.5269 2.8970
Zr 0.0000 0.0000 0.0000
```

Crystal system ... tetragonal
DOS(E_F) ... 0.23 states/eV/f.u.
Space group ... P4/mmm (123)

Record 7
BaZrTeS6 | PBE-GGA | relaxed Values from VASP.

Quantum ESPRESSO input file:
```
&SYSTEM
  ibrav = 0, nat = 9, ntyp = 4
/
ATOMIC_SPECIES
Ba 137.33 Ba.upf
Zr 91.22 Zr.upf
Te 127.60 Te.upf
S 32.06 S.upf
CELL_PARAMETERS angstrom
6.6434 0.0004 0.0001
3.3221 5.7531 -0.0001
0.0003 -0.0006 6.8452
ATOMIC_POSITIONS angstrom
Ba 6.6436 -0.0001 6.8452
Zr 6.6434 3.8353 3.4225
Te 3.3219 1.9176 3.4225
S 1.3080 2.2142 1.9348
S 2.5718 0.0253 4.9103
S 5.3357 2.2144 4.9103
S 2.0578 3.5134 4.9099
S 4.5858 3.5133 1.9348
S 4.0719 0.0250 1.9351
```

Crystal system ... trigonal
DOS(E_F) ... 3.67 states/eV/f.u.
Space group ... P312 (149)

Record 8
BaThS3 | PBE-GGA | relaxed Values from VASP.

Quantum ESPRESSO input file:
```
&SYSTEM
  ibrav = 0, nat = 20, ntyp = 3
/
ATOMIC_SPECIES
Ba 137.33 Ba.upf
Th 232.04 Th.upf
S 32.06 S.upf
CELL_PARAMETERS angstrom
4.3394 0.0000 0.0000
0.0000 7.7127 0.0000
0.0000 0.0000 16.6436
ATOMIC_POSITIONS angstrom
Ba 3.2545 6.6417 13.2912
Ba 1.0848 1.0709 3.3524
Ba 3.2545 2.7854 11.6742
Ba 1.0848 4.9272 4.9694
Th 1.0848 2.0307 15.9240
Th 1.0848 5.8870 9.0414
Th 3.2545 1.8257 7.6022
Th 3.2545 5.6820 0.7196
S 1.0848 2.8619 9.1209
S 3.2545 6.4432 3.3549
S 3.2545 3.7396 15.1419
S 3.2545 7.5959 9.8235
S 3.2545 4.8507 7.5227
S 1.0848 0.1168 6.8201
S 1.0848 6.7183 15.8445
S 3.2545 2.5869 4.9669
S 1.0848 5.1257 11.6767
S 1.0848 1.2694 13.2887
S 3.2545 0.9944 0.7991
S 1.0848 3.9731 1.5017
```

Crystal system ... orthorhombic
DOS(E_F) ... 0.00 states/eV/f.u.
Space group ... Pnma (62)

no.,E (eV/cell),E_form (uncorrected) (meV/atom)
1,-77.2,-955
2,-17.7,-763
3,-45.8,-839
4,-59.6,-593
5,-47.9,-844
6,-29.4,-1507
7,-45.6,-806
8,-128.1,-2058